#a
First-principles (GGA-PBE) data for a relaxed structure of RbCaSe3, as listed in the Alexandria database.

Cell and atoms, written as POSCAR:
```
RbCaSe3
1.0
-1.811 -0.359 -5.364
-1.084 -5.519 0.735
-5.265 1.260 1.693
Ca Se Rb
1 3 1
Direct
0.500 0.500 0.500
0.000 0.500 0.000
0.000 0.000 0.500
0.500 0.000 0.000
0.000 0.000 0.000
```

Its spin magnetization is 0.0 μB per formula unit. Its symmetry is Pm-3m, No. 221. The density comes out at 3.298 g cm⁻³.

#b
First-principles (GGA-PBE) data for a relaxed structure of RbCaSe3, as listed in the Alexandria database.

Cell and atoms, written as POSCAR:
```
RbCaSe3
1.0
-4.805 0.968 -2.841
2.830 -0.324 -4.897
-0.999 -5.573 -0.209
Ca Se Rb
1 3 1
Direct
0.000 0.000 0.000
0.000 0.500 0.000
0.000 0.000 0.500
0.500 0.000 0.000
0.500 0.500 0.500
```

Its spin magnetization is 2.9 μB per formula unit. Its symmetry is Pm-3m, No. 221. The density comes out at 3.309 g cm⁻³.

Each structure's energy above the most stable one, in meV/atom: #a 873; #b 0.